[1]
Compound: CsNpBr6
Source: OQMD via LeMat-Bulk
Functional: GGA-PBE
Structure: optimized geometry

Electronic total energy = -4.28 eV per atom
Density = 4.24 Mg/m³

Cell: 7.0682 7.0682 7.0682 Å, 100.45 100.45 100.45°
With the nearest neighbours (Å) after each atom.
Atoms (fractional coordinates):
Br 0.4288 0.7768 0.7768  1 Np 2.69
Br 0.7768 0.7768 0.4288  1 Np 2.69
Br 0.7768 0.4288 0.7768  1 Np 2.69
Br 0.5712 0.2232 0.2232  1 Np 2.69
Cs 0.0000 0.0000 0.0000  12 Br 3.97-4.09
Br 0.2232 0.2232 0.5712  1 Np 2.69
Np 0.5000 0.5000 0.5000  6 Br 2.69
Br 0.2232 0.5712 0.2232  1 Np 2.69

---

[2]
Compound: LuCoSiMo
Source: OQMD via LeMat-Bulk
Functional: GGA-PBE
Structure: optimized geometry

Distance to the lowest polymorph of the same formula = 0.000 eV/atom
Electronic total energy = -6.97 eV per atom
Density = 9.96 Mg/m³

Cell: 4.3860 4.3860 4.3860 Å, 60.00 60.00 60.00°
With the nearest neighbours (Å) after each atom.
Atoms (fractional coordinates):
Lu 0.5000 0.5000 0.5000  4 Mo 2.69, 4 Co 2.69
Co 0.7500 0.7500 0.7500  4 Lu 2.69, 4 Si 2.69
Mo 0.2500 0.2500 0.2500  4 Si 2.69, 4 Lu 2.69
Si 0.0000 0.0000 0.0000  4 Mo 2.69, 4 Co 2.69

---

[3]
Compound: SrZr6Te2
Source: OQMD via LeMat-Bulk
Functional: GGA-PBE
Structure: optimized geometry

Electronic total energy = -6.58 eV per atom
Density = 6.87 Mg/m³

Cell: 8.0224 8.0224 3.8604 Å, 90.00 90.00 120.00°
With the nearest neighbours (Å) after each atom.
Atoms (fractional coordinates):
Te 0.3333 0.6667 0.5000  9 Zr 2.94-3.08
Te 0.6667 0.3333 0.5000  9 Zr 2.94-3.08
Zr 0.7263 0.7263 0.5000  2 Sr 2.92, 2 Te 2.94, 2 Zr 3.10
Zr 0.5768 0.0000 0.0000  4 Te 3.08, 2 Zr 3.10, 1 Sr 3.39
Sr 0.0000 0.0000 0.0000  6 Zr 2.92
Zr 0.0000 0.2737 0.5000  2 Sr 2.92, 2 Te 2.94, 2 Zr 3.10
Zr 0.2737 0.0000 0.5000  2 Sr 2.92, 2 Te 2.94, 2 Zr 3.10
Zr 0.4232 0.4232 0.0000  4 Te 3.08, 2 Zr 3.10, 1 Sr 3.39
Zr 0.0000 0.5768 0.0000  4 Te 3.08, 2 Zr 3.10, 1 Sr 3.39

---

[4]
Compound: K2Ga3Pt2
Source: OQMD via LeMat-Bulk
Functional: GGA-PBE
Structure: optimized geometry

Electronic total energy = -3.81 eV per atom
Density = 6.58 Mg/m³

Cell: 4.2189 6.5174 7.1151 Å, 70.84 72.82 71.17°
With the nearest neighbours (Å) after each atom.
Atoms (fractional coordinates):
K 0.6426 0.4845 0.2318  3 Pt 3.26-3.60, 3 Ga 3.50-3.54
Pt 0.6148 0.9820 0.7888  5 Ga 2.57-2.59
Pt 0.3852 0.0180 0.2112  5 Ga 2.57-2.59
Ga 0.1685 0.0976 0.5659  3 Pt 2.58-2.59, 3 Ga 2.69-2.86
Ga 0.0000 0.0000 0.0000  4 Pt 2.57, 2 Ga 2.86
Ga 0.8315 0.9024 0.4341  3 Pt 2.58-2.59, 3 Ga 2.69-2.86
K 0.3574 0.5155 0.7682  3 Pt 3.26-3.60, 3 Ga 3.50-3.54

---

[5]
Compound: PrBeNO
Source: OQMD via LeMat-Bulk
Functional: GGA-PBE
Structure: optimized geometry

Distance to the lowest polymorph of the same formula = 0.308 eV/atom
Electronic total energy = -7.08 eV per atom
Density = 6.08 Mg/m³

Cell: 3.5833 3.5833 7.6502 Å, 90.00 90.00 90.00°
With the nearest neighbours (Å) after each atom.
Atoms (fractional coordinates):
N 0.7500 0.7500 0.4151  4 Be 1.91
N 0.2500 0.2500 0.5849  4 Be 1.91
Be 0.7500 0.2500 0.5000  4 N 1.91
Be 0.2500 0.7500 0.5000  4 N 1.91
Pr 0.2500 0.2500 0.1808  4 O 2.26
Pr 0.7500 0.7500 0.8192  4 O 2.26
O 0.7500 0.2500 0.0000  4 Pr 2.26, 4 O 2.53
O 0.2500 0.7500 0.0000  4 Pr 2.26, 4 O 2.53

---

[6]
Compound: BaHfHg
Source: OQMD via LeMat-Bulk
Functional: GGA-PBE
Structure: optimized geometry

Distance to the lowest polymorph of the same formula = 0.274 eV/atom
Electronic total energy = -3.87 eV per atom
Density = 9.37 Mg/m³

Cell: 3.7736 3.7736 12.8555 Å, 90.00 90.00 90.00°
With the nearest neighbours (Å) after each atom.
Atoms (fractional coordinates):
Ba 0.0000 0.0000 0.8168  4 Hg 3.56, 4 Hf 3.75, 4 Ba 3.77
Hg 0.0000 0.0000 0.5000  8 Hf 3.03
Hg 0.5000 0.5000 0.0000  8 Ba 3.56, 4 Hg 3.77
Hf 0.5000 0.5000 0.6114  1 Hf 2.87, 4 Hg 3.03
Hf 0.5000 0.5000 0.3886  1 Hf 2.87, 4 Hg 3.03
Ba 0.0000 0.0000 0.1832  4 Hg 3.56, 4 Hf 3.75, 4 Ba 3.77

---

[7]
Compound: LiDyTe
Source: OQMD via LeMat-Bulk
Functional: GGA-PBE
Structure: optimized geometry

Distance to the lowest polymorph of the same formula = 0.216 eV/atom
Electronic total energy = -3.56 eV per atom
Density = 5.68 Mg/m³

Cell: 4.9712 4.9712 4.9712 Å, 60.00 60.00 60.00°
With the nearest neighbours (Å) after each atom.
Atoms (fractional coordinates):
Li 0.2500 0.2500 0.2500  4 Dy 3.04
Dy 0.0000 0.0000 0.0000  4 Li 3.04, 4 Te 3.04
Te 0.7500 0.7500 0.7500  4 Dy 3.04

---

[8]
Compound: ReS2
Source: OQMD via LeMat-Bulk
Functional: GGA-PBE
Structure: optimized geometry

Electronic total energy = -7.17 eV per atom
Density = 8.28 Mg/m³

Cell: 5.4420 6.7567 5.4591 Å, 90.00 90.00 90.00°
With the nearest neighbours (Å) after each atom.
Atoms (fractional coordinates):
Re 0.5000 0.0929 0.2500  6 S 2.34-2.42
Re 0.0000 0.5929 0.2500  6 S 2.34-2.42
Re 0.0000 0.4071 0.7500  6 S 2.34-2.42
S 0.7809 0.1291 0.5765  3 Re 2.34-2.42
S 0.7191 0.3709 0.0765  3 Re 2.34-2.42
S 0.2191 0.1291 0.9235  3 Re 2.34-2.42
S 0.2809 0.3709 0.4235  3 Re 2.34-2.42
S 0.7809 0.8709 0.0765  3 Re 2.34-2.42
S 0.2191 0.8709 0.4235  3 Re 2.34-2.42
Re 0.5000 0.9071 0.7500  6 S 2.34-2.42
S 0.7191 0.6291 0.5765  3 Re 2.34-2.42
S 0.2809 0.6291 0.9235  3 Re 2.34-2.42